1.
PBE ReTeIN2, optimized geometry; crystal system = tetragonal; energy relative to the elements, uncorrected = 1001.5 meV/atom; ρ = 7.998 g/cm3; D(E_F) = 0.7411 states/eV/atom; magnetic moment = 0.000 μB per formula unit; SG = No. 123; E_tot = -5.76 eV/atom
1.0
4.0121 0.0000 0.0000
0.0000 4.0121 0.0000
0.0000 0.0000 6.0458
I N Re Te
1 2 1 1
Cartesian
0.0000 0.0000 3.0229 I
2.0061 0.0000 0.0000 N
0.0000 2.0061 0.0000 N
0.0000 0.0000 0.0000 Re
2.0061 2.0061 3.0229 Te

---

2.
PBE ReTeIN2, optimized geometry; crystal system = tetragonal; energy relative to the elements, uncorrected = 776.9 meV/atom; ρ = 8.195 g/cm3; D(E_F) = 0.6671 states/eV/atom; magnetic moment = 0.007 μB per formula unit; SG = No. 123; E_tot = -5.98 eV/atom
1.0
-3.9880 -0.3273 -0.4586
0.0045 -3.2966 2.3138
-0.8190 3.3298 4.7457
Te N I Re
1 2 1 1
Cartesian
-0.4095 1.6649 2.3728 Te
-1.9940 -0.1636 -0.2293 N
0.0022 -1.6483 1.1569 N
-2.4012 -0.1471 3.3005 I
0.0000 0.0000 0.0000 Re

---

3.
PBE ReTeIN2, optimized geometry; crystal system = tetragonal; energy relative to the elements, uncorrected = 2243.1 meV/atom; ρ = 6.596 g/cm3; D(E_F) = 0.7209 states/eV/atom; magnetic moment = 3.697 μB per formula unit; SG = No. 123; E_tot = -4.52 eV/atom
1.0
4.0176 0.0000 0.0000
0.0000 4.0176 0.0000
0.0000 0.0000 7.3107
Te N Re I
1 2 1 1
Cartesian
0.0000 0.0000 0.0000 Te
0.0000 2.0088 0.0000 N
2.0088 0.0000 0.0000 N
2.0088 2.0088 3.6553 Re
0.0000 0.0000 3.6553 I

---

4.
PBE ReTeIN2, optimized geometry; crystal system = tetragonal; energy relative to the elements, uncorrected = 2435.6 meV/atom; ρ = 6.962 g/cm3; D(E_F) = 0.5338 states/eV/atom; magnetic moment = 3.584 μB per formula unit; SG = No. 123; E_tot = -4.32 eV/atom
1.0
3.9665 0.0000 0.0000
0.0000 3.9665 0.0000
0.0000 0.0000 7.1062
N I Re Te
2 1 1 1
Cartesian
0.0000 1.9832 0.0000 N
1.9832 0.0000 0.0000 N
0.0000 0.0000 0.0000 I
1.9832 1.9832 3.5531 Re
0.0000 0.0000 3.5531 Te

---

5.
PBE TiReIN2, optimized geometry; crystal system = tetragonal; energy relative to the elements, uncorrected = 815.9 meV/atom; ρ = 7.451 g/cm3; D(E_F) = 1.4809 states/eV/atom; magnetic moment = 0.000 μB per formula unit; SG = No. 123; E_tot = -6.89 eV/atom
1.0
-2.1593 -2.1643 -2.4215
2.1481 -3.1327 0.8844
-3.5598 -1.2335 4.2768
N Re I Ti
2 1 1 1
Cartesian
1.0740 -1.5664 0.4422 N
-1.0797 -1.0821 -1.2108 N
0.0000 0.0000 0.0000 Re
-1.7799 -0.6168 2.1384 I
-1.7855 -3.2653 1.3698 Ti

---

6.
PBE TiReI2N, optimized geometry; crystal system = tetragonal; energy relative to the elements, uncorrected = 975.8 meV/atom; ρ = 6.850 g/cm3; D(E_F) = 0.6858 states/eV/atom; magnetic moment = 4.676 μB per formula unit; SG = No. 123; E_tot = -5.38 eV/atom
1.0
-4.8173 -2.9717 0.6855
0.5915 -2.1676 -5.2401
1.9639 -2.8596 1.4046
I Re Ti N
2 1 1 1
Cartesian
0.2957 -1.0838 -2.6200 I
-2.4087 -1.4858 0.3427 I
-1.1310 -3.9994 -1.5750 Re
0.0000 0.0000 0.0000 Ti
0.9819 -1.4298 0.7023 N

---

7.
PBE TiReIN2, optimized geometry; crystal system = tetragonal; energy relative to the elements, uncorrected = 1300.2 meV/atom; ρ = 7.126 g/cm3; D(E_F) = 0.5184 states/eV/atom; magnetic moment = 3.518 μB per formula unit; SG = No. 123; E_tot = -6.41 eV/atom
1.0
3.9476 0.0000 0.0000
0.0000 3.9476 0.0000
0.0000 0.0000 5.8165
I N Ti Re
1 2 1 1
Cartesian
0.0000 0.0000 2.9083 I
0.0000 1.9738 0.0000 N
1.9738 0.0000 0.0000 N
0.0000 0.0000 0.0000 Ti
1.9738 1.9738 2.9083 Re

---

8.
PBE TiReI2N, optimized geometry; crystal system = tetragonal; energy relative to the elements, uncorrected = 730.3 meV/atom; ρ = 7.168 g/cm3; D(E_F) = 1.7177 states/eV/atom; magnetic moment = 0.514 μB per formula unit; SG = No. 123; E_tot = -5.62 eV/atom
1.0
5.5636 0.0000 0.0000
0.0000 5.5636 0.0000
0.0000 0.0000 3.7560
Re I N Ti
1 2 1 1
Cartesian
0.0000 0.0000 0.0000 Re
0.0000 2.7818 0.0000 I
2.7818 0.0000 0.0000 I
0.0000 0.0000 1.8780 N
2.7818 2.7818 1.8780 Ti